No. 1
VASP calculation (PBE-GGA) on crystalline La2Mg2Rh15 at its relaxed geometry.

Summary:
Formation energy from the elements = -291 meV/atom

Cell lengths 6.874, 6.874, 6.874 Å; angles 82.60, 82.60, 82.60 degrees
Positions (direct):
La 0.151 0.151 0.151
La 0.849 0.849 0.849
Mg 0.397 0.397 0.397
Mg 0.603 0.603 0.603
Rh 0.000 0.500 0.500
Rh 0.151 0.151 0.650
Rh 0.151 0.650 0.151
Rh 0.201 0.500 0.799
Rh 0.201 0.799 0.500
Rh 0.350 0.849 0.849
Rh 0.500 0.000 0.500
Rh 0.500 0.201 0.799
Rh 0.500 0.500 0.000
Rh 0.500 0.799 0.201
Rh 0.650 0.151 0.151
Rh 0.799 0.201 0.500
Rh 0.799 0.500 0.201
Rh 0.849 0.350 0.849
Rh 0.849 0.849 0.350



No. 2
VASP calculation (PBE-GGA) on crystalline FeTeSe2 at its relaxed geometry.

Summary:
Formation energy from raw total energies = 85 meV/atom

Cell lengths 6.507, 6.507, 6.507 Å; angles 149.57, 134.74, 55.52 degrees
Positions (direct):
Fe 0.000 0.000 0.000
Te 0.500 0.500 0.000
Se 0.146 0.646 0.500
Se 0.854 0.354 0.500



No. 3
VASP calculation (PBE-GGA) on crystalline KRb2ZnF5 at its relaxed geometry.

Summary:
Formation energy from raw total energies = -2583 meV/atom

Cell lengths 8.219, 8.219, 8.219 Å; angles 125.33, 125.33, 81.00 degrees
Positions (direct):
K 0.250 0.250 0.000
K 0.750 0.750 0.000
Rb 0.175 0.675 0.851
Rb 0.325 0.175 0.500
Rb 0.675 0.825 0.500
Rb 0.825 0.325 0.149
Zn 0.250 0.750 0.500
Zn 0.750 0.250 0.500
F 0.000 0.000 0.000
F 0.014 0.799 0.500
F 0.201 0.701 0.215
F 0.299 0.514 0.500
F 0.486 0.986 0.785
F 0.500 0.500 0.000
F 0.514 0.014 0.215
F 0.701 0.486 0.500
F 0.799 0.299 0.785
F 0.986 0.201 0.500



Question: Which formula does entry 2 have?
Answer: FeTeSe2